(1)
# Zr12Zn3In

Zr12Zn3In after structural relaxation (PBE, the Alexandria database).

Summary:
space group = P4/mmm, No. 123
energy of formation = -0.159 eV/atom

Cell lengths 4.3909, 4.3909, 17.5363 Å; angles 90.00, 90.00, 90.00 degrees
Fractional coordinates of all 16 atoms:
1 Zn 0.0000 0.0000 0.7465
2 Zn 0.0000 0.0000 0.2535
3 Zn 0.0000 0.0000 0.5000
4 Zr 0.5000 0.0000 0.8700
5 Zr 0.0000 0.5000 0.6235
6 Zr 0.0000 0.5000 0.8700
7 Zr 0.5000 0.5000 0.0000
8 Zr 0.0000 0.5000 0.1300
9 Zr 0.5000 0.0000 0.1300
10 Zr 0.5000 0.5000 0.2536
11 Zr 0.5000 0.5000 0.7464
12 Zr 0.0000 0.5000 0.3765
13 Zr 0.5000 0.5000 0.5000
14 Zr 0.5000 0.0000 0.3765
15 Zr 0.5000 0.0000 0.6235
16 In 0.0000 0.0000 0.0000



(2)
# Tb4PrCu

Tb4PrCu after structural relaxation (PBE, the Alexandria database).

Summary:
space group = P4/mmm, No. 123
energy of formation = -0.047 eV/atom

Cell lengths 3.5656, 3.5656, 13.7443 Å; angles 90.00, 90.00, 90.00 degrees
Fractional coordinates of all 6 atoms:
1 Tb 0.0000 0.0000 0.3774
2 Tb 0.5000 0.5000 0.1890
3 Tb 0.0000 0.0000 0.6226
4 Tb 0.5000 0.5000 0.8110
5 Cu 0.5000 0.5000 0.5000
6 Pr 0.0000 0.0000 0.0000



(3)
# LiErZnCu

LiErZnCu after structural relaxation (PBE, the Alexandria database).

Summary:
space group = F-43m, No. 216
energy of formation = -0.151 eV/atom

Cell lengths 4.5823, 4.5823, 4.5823 Å; angles 60.00, 60.00, 60.00 degrees
Fractional coordinates of all 4 atoms:
1 Li 0.7500 0.7500 0.7500
2 Zn 0.5000 0.5000 0.5000
3 Cu 0.2500 0.2500 0.2500
4 Er 0.0000 0.0000 0.0000



(4)
# Be2HgPb

Be2HgPb after structural relaxation (PBE, the Alexandria database).

Summary:
space group = Cmmm, No. 65
relative energy among the computed polymorphs = 0.248 eV/atom
energy of formation = 0.619 eV/atom

Cell lengths 3.5254, 3.5254, 6.5090 Å; angles 90.00, 90.00, 105.72 degrees
Fractional coordinates of all 4 atoms:
1 Be 0.0000 0.0000 0.4272
2 Be 0.0000 0.0000 0.0728
3 Pb 0.5000 0.5000 0.7500
4 Hg 0.5000 0.5000 0.2500



(5)
# Pm2Te2Br

Pm2Te2Br after structural relaxation (PBE, the Alexandria database).

Summary:
space group = I4/mmm, No. 139
relative energy among the computed polymorphs = 0.000 eV/atom
ΔE_f (raw) = -1534 meV/atom

Cell lengths 4.4546, 4.4546, 9.4551 Å; angles 103.63, 103.63, 90.00 degrees
Fractional coordinates of all 5 atoms:
1 Te 0.1588 0.1588 0.3176
2 Te 0.8412 0.8412 0.6824
3 Pm 0.3385 0.3385 0.6770
4 Pm 0.6615 0.6615 0.3230
5 Br 0.5000 0.5000 0.0000



(6)
# IrSe2S

IrSe2S after structural relaxation (PBE, the Alexandria database).

Summary:
space group = I-42d, No. 122
ΔE_f (raw) = 319 meV/atom

Cell lengths 6.5439, 6.5439, 6.2100 Å; angles 58.20, 58.20, 90.00 degrees
Fractional coordinates of all 8 atoms:
1 Se 0.6610 0.1250 0.2500
2 Se 0.3750 0.3390 0.7500
3 Se 0.0890 0.6250 0.2500
4 Se 0.8750 0.9110 0.7500
5 Ir 0.0000 0.0000 0.0000
6 Ir 0.7500 0.2500 0.5000
7 S 0.5000 0.5000 0.0000
8 S 0.2500 0.7500 0.5000



(7)
# LaPr2Y2Er2

LaPr2Y2Er2 after structural relaxation (PBE, the Alexandria database).

Summary:
space group = C2/m, No. 12
energy of formation = 0.089 eV/atom

Cell lengths 3.5465, 6.1957, 11.9397 Å; angles 72.36, 90.00, 106.63 degrees
Fractional coordinates of all 7 atoms:
1 Er 0.2263 0.4525 0.6363
2 Er 0.7737 0.5475 0.3637
3 Y 0.5476 0.0952 0.2275
4 Y 0.4524 0.9048 0.7725
5 Pr 0.3271 0.6542 0.0856
6 Pr 0.6729 0.3458 0.9144
7 La 0.0000 0.0000 0.5000



(8)
# InGa3Ag12

InGa3Ag12 after structural relaxation (PBE, the Alexandria database).

Summary:
space group = P4/mmm, No. 123
energy of formation = 0.006 eV/atom

Cell lengths 4.1139, 4.1139, 16.8763 Å; angles 90.00, 90.00, 90.00 degrees
Fractional coordinates of all 16 atoms:
1 In 0.0000 0.0000 0.0000
2 Ga 0.0000 0.0000 0.2533
3 Ga 0.0000 0.0000 0.5000
4 Ga 0.0000 0.0000 0.7467
5 Ag 0.5000 0.0000 0.8692
6 Ag 0.0000 0.5000 0.1308
7 Ag 0.5000 0.5000 0.2540
8 Ag 0.5000 0.5000 0.5000
9 Ag 0.5000 0.0000 0.1308
10 Ag 0.5000 0.5000 0.7460
11 Ag 0.0000 0.5000 0.8692
12 Ag 0.5000 0.0000 0.6231
13 Ag 0.5000 0.5000 0.0000
14 Ag 0.0000 0.5000 0.6231
15 Ag 0.5000 0.0000 0.3769
16 Ag 0.0000 0.5000 0.3769



| no. | magnetization (Bohr magnetons per cell) | total DFT energy (no corrections) (eV per atom) |
| --- | --- | --- |
| 1 | 0.0 | -6.980 |
| 2 | 0.0 | -4.613 |
| 3 | 0.1 | -3.112 |
| 4 | 0.0 | -2.246 |
| 5 | 0.0 | -5.026 |
| 6 | 0.0 | -4.671 |
| 7 | 0.0 | -5.131 |
| 8 | 0.0 | -2.871 |